1.
The following is a DFT calculation (PBE) of an optimized crystal structure of LaBiPd.

Cell: 7.840 7.840 4.404 Å, 90.00 90.00 120.00°
Atoms (fractional coordinates):
Bi (0.271, 0.000, 0.000)
Bi (0.000, 0.271, 0.000)
Bi (0.729, 0.729, 0.000)
La (0.609, 0.000, 0.500)
La (0.391, 0.391, 0.500)
La (0.000, 0.609, 0.500)
Pd (0.667, 0.333, 0.000)
Pd (0.333, 0.667, 0.000)
Pd (0.000, 0.000, 0.500)

Summary:
Total DFT energy (no corrections): -5.578 eV per atom
Total moment: 0.002 μB per formula unit

=====

2.
The following is a DFT calculation (PBE) of an optimized crystal structure of La2BiPd2.

Cell: 8.007 8.007 3.989 Å, 90.00 90.00 90.00°
Atoms (fractional coordinates):
Bi (0.000, 0.000, 0.000)
Bi (0.500, 0.500, 0.000)
La (0.322, 0.178, 0.500)
La (0.822, 0.322, 0.500)
La (0.178, 0.678, 0.500)
La (0.678, 0.822, 0.500)
Pd (0.623, 0.123, 0.000)
Pd (0.123, 0.377, 0.000)
Pd (0.877, 0.623, 0.000)
Pd (0.377, 0.877, 0.000)

Summary:
Total DFT energy (no corrections): -5.769 eV per atom
Total moment: 0.002 μB per formula unit

=====

- total moment of number 1 (LaBiPd)?
  0.002 μB per formula unit